Record 1
The following is a GGA-PBE calculation of crystalline PaAgBrF6 at its relaxed geometry, from the Alexandria database.

Cell and atoms, written as extended XYZ:
```
9
Lattice="4.6274 0.0000 0.0000 1.5321 5.5226 0.0000 0.6250 1.8960 7.1293" Properties=species:S:1:pos:R:3 pbc="T T T"
Pa 0.0000 0.0000 0.0000
Ag 1.7122 4.4287 3.9072
Br 4.0239 3.6365 3.2812
F 1.6820 5.9131 2.1478
F 1.7138 3.5850 0.6867
F 1.7784 2.8462 5.4729
F 3.8926 5.3267 0.3501
F 4.5973 3.8421 7.0709
F 6.1780 6.3583 5.3796
```

Results
E_tot	-0.20185	hartree per atom
uncorrected formation energy	-2.69	eV/atom

=====

Record 2
The following is a GGA-PBE calculation of crystalline Nb2AlNi4 at its relaxed geometry, from the Alexandria database.

Cell and atoms, written as extended XYZ:
```
7
Lattice="4.7504 0.0000 0.0000 -2.0201 4.2997 0.0000 -0.6509 -0.9838 4.7573" Properties=species:S:1:pos:R:3 pbc="T T T"
Nb 0.0365 0.0592 1.3040
Nb 2.0429 3.2567 3.4532
Al 1.3652 2.1498 0.0000
Ni -1.0100 2.1498 0.0000
Ni -0.2459 2.4711 2.3799
Ni 2.3752 0.0000 0.0000
Ni 2.3253 0.8447 2.3773
```

Results
energy above the most stable polymorph in this dataset	0.000	eV per atom
E_tot	-0.24999	hartree per atom
energy relative to the elements	-0.087	eV per atom

=====

Record 3
The following is a GGA-PBE calculation of crystalline Cs2RbPa3Te8 at its relaxed geometry, from the Alexandria database.

Cell and atoms, written as extended XYZ:
```
14
Lattice="4.5776 2.6429 9.2762 -4.5776 2.6429 9.2762 0.0000 -5.2858 9.2762" Properties=species:S:1:pos:R:3 pbc="T T T"
Cs 0.0000 0.0000 0.0000
Cs 0.0000 0.0000 9.9859
Rb 0.0000 0.0000 20.0897
Pa 0.0000 -2.6308 14.6327
Pa -2.2784 1.3154 14.6327
Pa 2.2784 1.3154 14.6327
Te 0.0000 -2.4412 6.9865
Te -2.1142 1.2206 6.9865
Te 0.0000 0.0000 3.6985
Te -2.1245 -1.2266 12.9735
Te 2.1142 1.2206 6.9865
Te 0.0000 0.0000 16.3610
Te 2.1245 -1.2266 12.9735
Te 0.0000 2.4532 12.9735
```

Results
E_tot	-0.18136	hartree per atom
uncorrected formation energy	-0.91	eV/atom

=====

Record 4
The following is a GGA-PBE calculation of crystalline Pr2Al6Ni at its relaxed geometry, from the Alexandria database.

Cell and atoms, written as extended XYZ:
```
9
Lattice="6.1220 0.0000 0.0000 -3.0610 5.3018 0.0000 0.0000 0.0000 5.4943" Properties=species:S:1:pos:R:3 pbc="T T T"
Pr 0.0000 3.5345 1.6716
Pr 3.0610 1.7673 3.8227
Al 0.0000 1.7590 4.4160
Al -1.5377 4.4223 4.4160
Al 1.5233 0.8795 1.0783
Al 1.5377 4.4223 4.4160
Al 4.5987 0.8795 1.0783
Al 3.0610 3.5428 1.0783
Ni 0.0000 0.0000 2.7472
```

Results
E_tot	-0.17031	hartree per atom
energy relative to the elements	-0.435	eV per atom

=====

> Number 4 is which compound?

Pr2Al6Ni

=====

> Which value of E_tot does entry 3 give?

-0.18136 hartree per atom

=====

What did the first record say?
The following is a GGA-PBE calculation of crystalline PaAgBrF6 at its relaxed geometry, from the Alexandria database.

Cell and atoms, written as extended XYZ:
```
9
Lattice="4.6274 0.0000 0.0000 1.5321 5.5226 0.0000 0.6250 1.8960 7.1293" Properties=species:S:1:pos:R:3 pbc="T T T"
Pa 0.0000 0.0000 0.0000
Ag 1.7122 4.4287 3.9072
Br 4.0239 3.6365 3.2812
F 1.6820 5.9131 2.1478
F 1.7138 3.5850 0.6867
F 1.7784 2.8462 5.4729
F 3.8926 5.3267 0.3501
F 4.5973 3.8421 7.0709
F 6.1780 6.3583 5.3796
```

Results
E_tot	-0.20185	hartree per atom
uncorrected formation energy	-2.69	eV/atom

=====

> Number 3 is which compound?

Cs2RbPa3Te8